1.
The following is a PBE-GGA calculation of an optimized crystal structure of SbPdN2, from Alexandria via LeMat-Bulk.

a = 6.557 Å, b = 6.557 Å, c = 6.557 Å
α = 28.47°, β = 28.47°, γ = 28.47°
Fractional positions:
Sb 0.000 0.000 0.000
Pd 0.500 0.500 0.500
N 0.115 0.115 0.115
N 0.885 0.885 0.885

Properties
electronic total energy = -5.64 eV/atom
crystal system = trigonal
symmetry = No. 166

2.
The following is a PBE-GGA calculation of an optimized crystal structure of SbPdN2, from Alexandria via LeMat-Bulk.

a = 5.947 Å, b = 5.947 Å, c = 5.947 Å
α = 129.64°, β = 129.64°, γ = 73.99°
Fractional positions:
Sb 0.000 0.000 0.000
Sb 0.750 0.250 0.500
Pd 0.250 0.750 0.500
Pd 0.500 0.500 0.000
N 0.106 0.625 0.981
N 0.375 0.356 0.481
N 0.644 0.125 0.019
N 0.875 0.894 0.519

Properties
electronic total energy = -5.67 eV/atom
crystal system = tetragonal
symmetry = No. 122

3.
The following is a PBE-GGA calculation of an optimized crystal structure of SbPdN, from Alexandria via LeMat-Bulk.

a = 4.452 Å, b = 4.464 Å, c = 7.769 Å
α = 75.29°, β = 75.08°, γ = 67.22°
Fractional positions:
Sb 0.000 0.000 0.000
Sb 0.234 0.233 0.250
Pd 0.036 0.037 0.627
Pd 0.619 0.619 0.123
N 0.372 0.604 0.628
N 0.602 0.373 0.629

Properties
electronic total energy = -5.81 eV/atom
crystal system = triclinic
symmetry = No. 1

4.
The following is a PBE-GGA calculation of an optimized crystal structure of Sb2PdN, from Alexandria via LeMat-Bulk.

a = 6.743 Å, b = 6.743 Å, c = 6.743 Å
α = 130.44°, β = 130.44°, γ = 72.70°
Fractional positions:
Sb 0.075 0.625 0.950
Sb 0.375 0.325 0.450
Sb 0.675 0.125 0.050
Sb 0.875 0.925 0.550
Pd 0.250 0.750 0.500
Pd 0.500 0.500 0.000
N 0.000 0.000 0.000
N 0.750 0.250 0.500

Properties
electronic total energy = -5.18 eV/atom
crystal system = tetragonal
symmetry = No. 122

5.
The following is a PBE-GGA calculation of an optimized crystal structure of ScSb2PdN, from Alexandria via LeMat-Bulk.

a = 5.486 Å, b = 5.486 Å, c = 4.892 Å
α = 90.00°, β = 90.00°, γ = 90.00°
Fractional positions:
Sc 0.000 0.000 0.000
Sb 0.000 0.500 0.000
Sb 0.500 0.000 0.000
Pd 0.000 0.000 0.500
N 0.500 0.500 0.500

Properties
electronic total energy = -4.27 eV/atom
crystal system = tetragonal
symmetry = No. 123

6.
The following is a PBE-GGA calculation of an optimized crystal structure of SbPdSeN2, from Alexandria via LeMat-Bulk.

a = 3.968 Å, b = 3.968 Å, c = 5.756 Å
α = 90.00°, β = 90.00°, γ = 90.00°
Fractional positions:
Sb 0.000 0.000 0.000
Pd 0.500 0.500 0.500
Se 0.000 0.000 0.500
N 0.000 0.500 0.000
N 0.500 0.000 0.000

Properties
electronic total energy = -4.58 eV/atom
crystal system = tetragonal
symmetry = No. 123

7.
The following is a PBE-GGA calculation of an optimized crystal structure of SbPdSeN2, from Alexandria via LeMat-Bulk.

a = 4.079 Å, b = 4.079 Å, c = 5.284 Å
α = 90.00°, β = 90.00°, γ = 90.00°
Fractional positions:
Sb 0.000 0.000 0.000
Pd 0.500 0.500 0.500
Se 0.500 0.500 0.000
N 0.000 0.500 0.500
N 0.500 0.000 0.500

Properties
electronic total energy = -4.59 eV/atom
crystal system = tetragonal
symmetry = No. 123

8.
The following is a PBE-GGA calculation of an optimized crystal structure of ThSbPdN, from Alexandria via LeMat-Bulk.

a = 7.437 Å, b = 7.437 Å, c = 7.437 Å
α = 152.99°, β = 152.99°, γ = 38.57°
Fractional positions:
Th 0.000 0.000 0.000
Sb 0.255 0.255 0.000
Pd 0.658 0.658 0.000
N 0.497 0.497 0.000

Properties
electronic total energy = -7.10 eV/atom
crystal system = tetragonal
symmetry = No. 107

9.
The following is a PBE-GGA calculation of an optimized crystal structure of YSbPd2N, from Alexandria via LeMat-Bulk.

a = 4.300 Å, b = 4.300 Å, c = 4.852 Å
α = 90.00°, β = 90.00°, γ = 90.00°
Fractional positions:
Y 0.000 0.000 0.000
Sb 0.500 0.500 0.000
Pd 0.000 0.500 0.500
Pd 0.500 0.000 0.500
N 0.500 0.500 0.500

Properties
electronic total energy = -5.97 eV/atom
crystal system = tetragonal
symmetry = No. 123

10.
The following is a PBE-GGA calculation of an optimized crystal structure of ZrSbPd2N, from Alexandria via LeMat-Bulk.

a = 4.940 Å, b = 4.940 Å, c = 4.091 Å
α = 90.00°, β = 90.00°, γ = 90.00°
Fractional positions:
Zr 0.000 0.000 0.000
Sb 0.500 0.500 0.500
Pd 0.000 0.500 0.500
Pd 0.500 0.000 0.500
N 0.500 0.500 0.000

Properties
electronic total energy = -5.58 eV/atom
crystal system = tetragonal
symmetry = No. 123

11.
The following is a PBE-GGA calculation of an optimized crystal structure of Sc2PdN, from Alexandria via LeMat-Bulk.

a = 7.720 Å, b = 7.720 Å, c = 7.720 Å
α = 23.58°, β = 23.58°, γ = 23.58°
Fractional positions:
Sc 0.112 0.112 0.112
Sc 0.888 0.888 0.888
Pd 0.000 0.000 0.000
N 0.500 0.500 0.500

Properties
electronic total energy = -7.52 eV/atom
crystal system = trigonal
symmetry = No. 166

12.
The following is a PBE-GGA calculation of an optimized crystal structure of Sc3PdN, from Alexandria via LeMat-Bulk.

a = 4.392 Å, b = 4.392 Å, c = 4.392 Å
α = 90.00°, β = 90.00°, γ = 90.00°
Fractional positions:
Sc 0.000 0.000 0.500
Sc 0.000 0.500 0.000
Sc 0.500 0.000 0.000
Pd 0.500 0.500 0.500
N 0.000 0.000 0.000

Properties
electronic total energy = -7.58 eV/atom
crystal system = cubic
symmetry = No. 221

13.
The following is a PBE-GGA calculation of an optimized crystal structure of ScPdN2, from Alexandria via LeMat-Bulk.

a = 6.109 Å, b = 6.109 Å, c = 6.109 Å
α = 135.44°, β = 135.44°, γ = 64.85°
Fractional positions:
Sc 0.000 0.000 0.000
Sc 0.750 0.250 0.500
Pd 0.250 0.750 0.500
Pd 0.500 0.500 0.000
N 0.134 0.625 0.009
N 0.375 0.384 0.509
N 0.616 0.125 0.991
N 0.875 0.866 0.491

Properties
electronic total energy = -7.22 eV/atom
crystal system = tetragonal
symmetry = No. 122

14.
The following is a PBE-GGA calculation of an optimized crystal structure of ScPdN2, from Alexandria via LeMat-Bulk.

a = 3.933 Å, b = 3.933 Å, c = 3.933 Å
α = 60.00°, β = 60.00°, γ = 60.00°
Fractional positions:
Sc 0.000 0.000 0.000
Pd 0.500 0.500 0.500
N 0.250 0.250 0.250
N 0.750 0.750 0.750

Properties
electronic total energy = -6.88 eV/atom
crystal system = cubic
symmetry = No. 225

15.
The following is a PBE-GGA calculation of an optimized crystal structure of ScPdN2, from Alexandria via LeMat-Bulk.

a = 6.261 Å, b = 6.261 Å, c = 6.261 Å
α = 30.47°, β = 30.47°, γ = 30.47°
Fractional positions:
Sc 0.000 0.000 0.000
Pd 0.500 0.500 0.500
N 0.393 0.393 0.393
N 0.607 0.607 0.607

Properties
electronic total energy = -7.17 eV/atom
crystal system = trigonal
symmetry = No. 166

16.
The following is a PBE-GGA calculation of an optimized crystal structure of Sc2PdN, from Alexandria via LeMat-Bulk.

a = 7.241 Å, b = 7.241 Å, c = 7.241 Å
α = 31.95°, β = 31.95°, γ = 31.95°
Fractional positions:
Sc 0.090 0.090 0.090
Sc 0.910 0.910 0.910
Pd 0.500 0.500 0.500
N 0.000 0.000 0.000

Properties
electronic total energy = -6.89 eV/atom
crystal system = trigonal
symmetry = No. 166

17.
The following is a PBE-GGA calculation of an optimized crystal structure of ScPd3N, from Alexandria via LeMat-Bulk.

a = 4.215 Å, b = 4.215 Å, c = 4.215 Å
α = 90.00°, β = 90.00°, γ = 90.00°
Fractional positions:
Sc 0.000 0.000 0.000
Pd 0.000 0.500 0.500
Pd 0.500 0.000 0.500
Pd 0.500 0.500 0.000
N 0.500 0.500 0.500

Properties
electronic total energy = -6.25 eV/atom
crystal system = cubic
symmetry = No. 221

18.
The following is a PBE-GGA calculation of an optimized crystal structure of ScPdN, from Alexandria via LeMat-Bulk.

a = 6.036 Å, b = 3.305 Å, c = 8.828 Å
α = 90.00°, β = 90.00°, γ = 90.00°
Fractional positions:
Sc 0.091 0.250 0.136
Sc 0.409 0.750 0.636
Sc 0.591 0.250 0.364
Sc 0.909 0.750 0.864
Pd 0.141 0.250 0.445
Pd 0.359 0.750 0.945
Pd 0.641 0.250 0.055
Pd 0.859 0.750 0.555
N 0.123 0.250 0.886
N 0.377 0.750 0.386
N 0.623 0.250 0.614
N 0.877 0.750 0.114

Properties
electronic total energy = -7.32 eV/atom
crystal system = orthorhombic
symmetry = No. 62

19.
The following is a PBE-GGA calculation of an optimized crystal structure of ScPd3N, from Alexandria via LeMat-Bulk.

a = 4.834 Å, b = 4.834 Å, c = 4.834 Å
α = 90.00°, β = 90.00°, γ = 90.00°
Fractional positions:
Sc 0.000 0.000 0.000
Pd 0.000 0.000 0.500
Pd 0.000 0.500 0.000
Pd 0.500 0.000 0.000
N 0.500 0.500 0.500

Properties
electronic total energy = -4.55 eV/atom
crystal system = cubic
symmetry = No. 221

20.
The following is a PBE-GGA calculation of an optimized crystal structure of Sc2PdN, from Alexandria via LeMat-Bulk.

a = 5.747 Å, b = 5.747 Å, c = 5.747 Å
α = 115.51°, β = 115.51°, γ = 97.98°
Fractional positions:
Sc 0.044 0.625 0.919
Sc 0.375 0.294 0.419
Sc 0.706 0.125 0.081
Sc 0.875 0.956 0.581
Pd 0.250 0.750 0.500
Pd 0.500 0.500 0.000
N 0.000 0.000 0.000
N 0.750 0.250 0.500

Properties
electronic total energy = -7.57 eV/atom
crystal system = tetragonal
symmetry = No. 122